The following is a DFT calculation (PBE) of an optimized crystal structure of Dy3Pa2C4.

Geometry as POSCAR:
```
Dy3Pa2C4
1.0
-2.478 0.398 -2.590
-2.438 -5.662 -1.048
-6.862 -0.074 4.042
Dy Pa C
3 2 4
direct
0.204 0.403 0.190
0.000 0.000 0.000
0.796 0.597 0.810
0.401 0.809 0.390
0.599 0.191 0.610
0.408 0.300 0.883
0.199 0.927 0.674
0.592 0.700 0.117
0.801 0.073 0.326
```

Mass density in g/cm³: 10.11
Total magnetic moment in μB/cell: 0.000
Formation energy in eV per atom: -0.309
Space group: C2/m, No. 12
E in eV/atom: -8.053